(w)
VASP calculation (PBE-GGA) on Sc2AgBr after structural relaxation.

## Properties
For the density of states at the Fermi level, the calculation gives 2.49 states/eV/f.u. The theoretical density comes out at 5.0 g/cm3.

a = 10.248 Å, b = 10.248 Å, c = 10.248 Å
α = 18.24°, β = 18.24°, γ = 18.24°
Element x y z (fractional)
Br: 0.500 0.500 0.500
Sc: 0.093 0.093 0.093
Sc: 0.907 0.907 0.907
Ag: 0.000 0.000 0.000


(x)
VASP calculation (PBE-GGA) on Sc2AgBr after structural relaxation.

## Properties
For the density of states at the Fermi level, the calculation gives 3.78 states/eV/f.u. The theoretical density comes out at 4.9 g/cm3.

a = 3.375 Å, b = 3.511 Å, c = 7.863 Å
α = 89.98°, β = 90.00°, γ = 90.00°
Element x y z (fractional)
Ag: 0.500 0.250 0.250
Sc: 0.000 0.750 0.462
Sc: 0.000 0.750 0.038
Br: 0.500 0.750 0.750


(y)
VASP calculation (PBE-GGA) on Sc2AgBr after structural relaxation.

## Properties
For the density of states at the Fermi level, the calculation gives 4.66 states/eV/f.u. The theoretical density comes out at 4.9 g/cm3.

a = 7.409 Å, b = 7.409 Å, c = 6.247 Å
α = 53.63°, β = 53.63°, γ = 90.00°
Element x y z (fractional)
Br: 0.500 0.500 0.000
Br: 0.250 0.750 0.500
Sc: 0.135 0.625 0.250
Sc: 0.615 0.125 0.250
Sc: 0.375 0.385 0.750
Sc: 0.875 0.865 0.750
Ag: 0.000 0.000 0.000
Ag: 0.750 0.250 0.500


Top of the stability list: (x), leading by 0.270 eV/atom.


(w)
VASP calculation (PBE-GGA) on ScAgBr3 after structural relaxation.

## Properties
For the density of states at the Fermi level, the calculation gives 9.19 states/eV/f.u. The theoretical density comes out at 4.3 g/cm3.

a = 5.352 Å, b = 5.352 Å, c = 5.352 Å
α = 90.00°, β = 90.00°, γ = 90.00°
Element x y z (fractional)
Ag: 0.000 0.000 0.000
Br: 0.000 0.000 0.500
Br: 0.000 0.500 0.000
Br: 0.500 0.000 0.000
Sc: 0.500 0.500 0.500


(x)
VASP calculation (PBE-GGA) on ScAgBr3 after structural relaxation.

## Properties
For the density of states at the Fermi level, the calculation gives 4.27 states/eV/f.u. The theoretical density comes out at 4.3 g/cm3.

a = 5.315 Å, b = 5.315 Å, c = 5.315 Å
α = 90.00°, β = 90.00°, γ = 90.00°
Element x y z (fractional)
Br: 0.000 0.000 0.500
Br: 0.500 0.000 0.000
Br: 0.000 0.500 0.000
Ag: 0.500 0.500 0.500
Sc: 0.000 0.000 0.000


Top of the stability list: (x), leading by 0.620 eV/atom.


(w)
VASP calculation (PBE-GGA) on ScAgBr4 after structural relaxation.

## Properties
For the density of states at the Fermi level, the calculation gives 0.00 states/eV/f.u. The theoretical density comes out at 4.0 g/cm3.

a = 3.944 Å, b = 6.882 Å, c = 7.356 Å
α = 96.83°, β = 90.00°, γ = 90.00°
Element x y z (fractional)
Br: 0.500 0.796 0.783
Br: 0.000 0.765 0.347
Br: 0.500 0.204 0.217
Br: 0.000 0.235 0.653
Sc: 0.500 0.000 0.500
Ag: 0.000 0.000 0.000


(x)
VASP calculation (PBE-GGA) on ScAgBr4 after structural relaxation.

## Properties
For the density of states at the Fermi level, the calculation gives 9.34 states/eV/f.u. The theoretical density comes out at 4.7 g/cm3.

a = 6.195 Å, b = 6.195 Å, c = 6.195 Å
α = 60.00°, β = 60.00°, γ = 60.00°
Element x y z (fractional)
Br: 0.876 0.375 0.375
Br: 0.375 0.876 0.375
Br: 0.375 0.375 0.876
Br: 0.375 0.375 0.375
Ag: 0.000 0.000 0.000
Sc: 0.750 0.750 0.750


(y)
VASP calculation (PBE-GGA) on ScAgBr4 after structural relaxation.

## Properties
For the density of states at the Fermi level, the calculation gives 0.00 states/eV/f.u. The theoretical density comes out at 3.8 g/cm3.

a = 6.731 Å, b = 6.852 Å, c = 10.062 Å
α = 105.49°, β = 105.05°, γ = 102.69°
Element x y z (fractional)
Sc: 0.186 0.936 0.872
Sc: 0.814 0.064 0.128
Br: 0.479 0.728 0.911
Br: 0.275 0.060 0.666
Br: 0.068 0.817 0.089
Br: 0.109 0.394 0.334
Br: 0.932 0.183 0.911
Br: 0.891 0.606 0.666
Br: 0.725 0.940 0.334
Br: 0.521 0.272 0.089
Ag: 0.624 0.374 0.748
Ag: 0.376 0.626 0.252


Top of the stability list: (w), leading by 0.011 eV/atom.


(w)
VASP calculation (PBE-GGA) on ScAgSeBr2 after structural relaxation.

## Properties
For the density of states at the Fermi level, the calculation gives 6.25 states/eV/f.u. The theoretical density comes out at 4.6 g/cm3.

a = 5.186 Å, b = 5.186 Å, c = 5.230 Å
α = 90.00°, β = 90.00°, γ = 90.00°
Element x y z (fractional)
Br: 0.500 0.000 0.000
Br: 0.000 0.500 0.000
Ag: 0.000 0.000 0.000
Se: 0.000 0.000 0.500
Sc: 0.500 0.500 0.500


(x)
VASP calculation (PBE-GGA) on ScAgSeBr2 after structural relaxation.

## Properties
For the density of states at the Fermi level, the calculation gives 0.45 states/eV/f.u. The theoretical density comes out at 4.5 g/cm3.

a = 5.260 Å, b = 5.260 Å, c = 5.258 Å
α = 90.00°, β = 90.00°, γ = 90.00°
Element x y z (fractional)
Br: 0.000 0.500 0.000
Br: 0.500 0.000 0.000
Se: 0.000 0.000 0.500
Ag: 0.500 0.500 0.500
Sc: 0.000 0.000 0.000


Top of the stability list: (x), leading by 0.681 eV/atom.


(w)
VASP calculation (PBE-GGA) on AgSe2Br after structural relaxation.

## Properties
For the density of states at the Fermi level, the calculation gives 0.97 states/eV/f.u. The theoretical density comes out at 4.7 g/cm3.

a = 8.589 Å, b = 8.589 Å, c = 3.934 Å
α = 81.82°, β = 81.82°, γ = 25.13°
Element x y z (fractional)
Br: 0.250 0.250 0.250
Ag: 0.750 0.750 0.750
Se: 0.479 0.479 0.575
Se: 0.021 0.021 0.925


(x)
VASP calculation (PBE-GGA) on AgSe2Br after structural relaxation.

## Properties
For the density of states at the Fermi level, the calculation gives 2.84 states/eV/f.u. The theoretical density comes out at 3.7 g/cm3.

a = 8.329 Å, b = 8.329 Å, c = 4.025 Å
α = 90.00°, β = 90.00°, γ = 146.04°
Element x y z (fractional)
Se: 0.500 0.500 0.000
Se: 0.000 0.000 0.000
Ag: 0.500 0.000 0.500
Br: 0.000 0.500 0.500


(y)
VASP calculation (PBE-GGA) on AgSe2Br after structural relaxation.

## Properties
For the density of states at the Fermi level, the calculation gives 0.65 states/eV/f.u. The theoretical density comes out at 6.2 g/cm3.

a = 4.947 Å, b = 4.947 Å, c = 4.950 Å
α = 71.64°, β = 71.64°, γ = 111.78°
Element x y z (fractional)
Ag: 0.500 0.000 0.500
Se: 0.000 0.000 0.000
Se: 0.500 0.500 0.000
Br: 0.000 0.500 0.500


Top of the stability list: (w), leading by 0.136 eV/atom.


(w)
VASP calculation (PBE-GGA) on AgSe2Br after structural relaxation.

## Properties
For the density of states at the Fermi level, the calculation gives 3.82 states/eV/f.u. The theoretical density comes out at 6.6 g/cm3.

a = 5.310 Å, b = 5.310 Å, c = 3.079 Å
α = 90.00°, β = 90.00°, γ = 90.00°
Element x y z (fractional)
Se: 0.000 0.000 0.000
Se: 0.500 0.500 0.000
Ag: 0.500 0.000 0.500
Br: 0.000 0.500 0.500


(x)
VASP calculation (PBE-GGA) on AgSe2Br after structural relaxation.

## Properties
For the density of states at the Fermi level, the calculation gives 0.62 states/eV/f.u. The theoretical density comes out at 4.4 g/cm3.

a = 4.469 Å, b = 4.469 Å, c = 7.864 Å
α = 90.00°, β = 90.00°, γ = 124.32°
Element x y z (fractional)
Br: 0.500 0.500 0.692
Se: 0.000 0.000 0.077
Se: 0.500 0.500 0.239
Ag: 0.000 0.000 0.493


(y)
VASP calculation (PBE-GGA) on AgSe2Br after structural relaxation.

## Properties
For the density of states at the Fermi level, the calculation gives 3.08 states/eV/f.u. The theoretical density comes out at 4.9 g/cm3.

a = 5.571 Å, b = 5.571 Å, c = 8.465 Å
α = 70.79°, β = 70.79°, γ = 90.00°
Element x y z (fractional)
Se: 0.652 0.125 0.250
Se: 0.375 0.348 0.750
Se: 0.098 0.625 0.250
Se: 0.875 0.902 0.750
Ag: 0.750 0.250 0.500
Ag: 0.000 0.000 0.000
Br: 0.250 0.750 0.500
Br: 0.500 0.500 0.000


Top of the stability list: (x), leading by 0.366 eV/atom.